Entry 1:
The following is a DFT calculation (GGA-PBE) of a geometry-optimized RbErU structure.

Energy: -3.594 eV per atom

Unit cell a=5.906 b=5.906 c=5.906 alpha=60.00 beta=60.00 gamma=60.00
Fractional positions:
Rb 0.000 0.000 0.000
Er 0.500 0.500 0.500
U 0.750 0.750 0.750


Entry 2:
The following is a DFT calculation (GGA-PBE) of a geometry-optimized DyBeHg structure.

Energy: -2.686 eV per atom

Unit cell a=4.647 b=4.647 c=4.647 alpha=60.00 beta=60.00 gamma=60.00
Fractional positions:
Dy 0.000 0.000 0.000
Be 0.500 0.500 0.500
Hg 0.750 0.750 0.750


Entry 3:
The following is a DFT calculation (GGA-PBE) of a geometry-optimized KRbInAg3 structure.

Energy: -2.271 eV per atom

Unit cell a=5.727 b=6.689 c=9.358 alpha=90.00 beta=90.00 gamma=90.00
Fractional positions:
K 0.250 0.000 0.139
K 0.750 0.000 0.861
Rb 0.250 0.500 0.374
Rb 0.750 0.500 0.626
In 0.250 0.000 0.574
In 0.750 0.000 0.426
Ag 0.000 0.500 0.000
Ag 0.250 0.284 0.790
Ag 0.250 0.716 0.790
Ag 0.500 0.500 0.000
Ag 0.750 0.284 0.210
Ag 0.750 0.716 0.210


Entry 4:
The following is a DFT calculation (GGA-PBE) of a geometry-optimized Nb3GaCN structure.

Energy: -9.099 eV per atom

Unit cell a=3.131 b=3.131 c=18.901 alpha=90.00 beta=90.00 gamma=120.00
Fractional positions:
Nb 0.000 0.000 0.000
Nb 0.000 0.000 0.500
Nb 0.333 0.667 0.133
Nb 0.333 0.667 0.365
Nb 0.667 0.333 0.635
Nb 0.667 0.333 0.867
Ga 0.000 0.000 0.249
Ga 0.000 0.000 0.751
C 0.333 0.667 0.570
C 0.667 0.333 0.430
N 0.333 0.667 0.932
N 0.667 0.333 0.068


Entry 5:
The following is a DFT calculation (GGA-PBE) of a geometry-optimized PrZr structure.

Polymorph energy (0 for the lowest one): 9 kJ/mol of formula units
ΔE_f: 0.14 eV/atom

Unit cell a=6.842 b=5.515 c=9.368 alpha=90.00 beta=100.60 gamma=90.00
Fractional positions:
Pr 0.022 0.250 0.117
Pr 0.310 0.750 0.249
Pr 0.462 0.750 0.873
Pr 0.538 0.250 0.127
Pr 0.690 0.250 0.751
Pr 0.978 0.750 0.883
Zr 0.127 0.750 0.554
Zr 0.177 0.250 0.740
Zr 0.350 0.250 0.461
Zr 0.650 0.750 0.539
Zr 0.823 0.750 0.260
Zr 0.873 0.250 0.446


Entry 6:
The following is a DFT calculation (GGA-PBE) of a geometry-optimized NaPuCo structure.

Energy: -5.490 eV per atom

Unit cell a=4.454 b=4.454 c=4.454 alpha=60.00 beta=60.00 gamma=60.00
Fractional positions:
Na 0.000 0.000 0.000
Pu 0.250 0.250 0.250
Co 0.750 0.750 0.750


Entry 7:
The following is a DFT calculation (GGA-PBE) of a geometry-optimized ScZnTe2 structure.

Energy: -3.558 eV per atom

Unit cell a=5.195 b=5.195 c=5.195 alpha=60.00 beta=60.00 gamma=60.00
Fractional positions:
Sc 0.000 0.000 0.000
Zn 0.250 0.250 0.250
Te 0.500 0.500 0.500
Te 0.750 0.750 0.750


Entry 8:
The following is a DFT calculation (GGA-PBE) of a geometry-optimized HfHg2Os structure.

ΔE_f: 0.37 eV/atom

Unit cell a=4.743 b=4.743 c=4.743 alpha=60.00 beta=60.00 gamma=60.00
Fractional positions:
Hf 0.000 0.000 0.000
Hg 0.250 0.250 0.250
Hg 0.500 0.500 0.500
Os 0.750 0.750 0.750